A plane-wave DFT calculation with PBE+U was carried out for a relaxed ScCrF2 crystal.

Summary:
Total DFT energy (no corrections)   -6.241 eV/atom
SG   I-42d (122)
Crystal system   tetragonal
Magnetic moment   10.085 Bohr magnetons per cell

Structure (POSCAR):
```
ScCrF2
1.0
-2.606 2.606 5.965
2.606 -2.606 5.965
2.606 2.606 -5.965
Sc Cr F
2 2 4
Cartesian
0.000 0.000 0.000
0.000 2.606 2.983
2.606 0.000 2.983
0.000 0.000 5.965
0.377 1.303 1.491
-1.303 2.229 4.474
-0.377 3.908 1.491
1.303 2.982 4.474
```